This record from Alexandria via LeMat-Bulk describes a relaxed structure of Ho7Pt2Au2. The functional is PBE-GGA.

Output
spin magnetization: 0.00 μB per cell
energy relative to the elements: -0.65 eV per atom
energy above the lowest structure with this stoichiometry: 0.167 eV/atom

abc: 6.7025 7.0552 6.7025
angles: 90.00 105.43 90.00
Sites, in units of the cell vectors:
Ho: 0.9998 0.2580 0.5003
Ho: 0.5003 0.7420 0.9998
Ho: 0.0002 0.7420 0.4997
Ho: 0.4997 0.2580 0.0002
Ho: 0.0000 0.0000 0.0000
Ho: 0.5002 0.7469 0.4998
Ho: 0.4998 0.2531 0.5002
Pt: 0.7164 0.0000 0.2836
Pt: 0.2836 0.0000 0.7164
Au: 0.7924 0.5000 0.7924
Au: 0.2076 0.5000 0.2076

This record from Alexandria via LeMat-Bulk describes a relaxed structure of HoPtAu. The functional is PBE-GGA.

Output
spin magnetization: 0.00 μB per cell
energy relative to the elements: -0.92 eV per atom
energy above the lowest structure with this stoichiometry: 0.062 eV/atom

abc: 3.9735 4.4678 7.0800
angles: 90.00 106.30 90.00
Sites, in units of the cell vectors:
Ho: 0.6077 0.2500 0.2168
Ho: 0.3923 0.7500 0.7832
Pt: 0.2577 0.2500 0.5160
Pt: 0.7423 0.7500 0.4840
Au: 0.9273 0.2500 0.8519
Au: 0.0727 0.7500 0.1481

Which formula does entry 1 have? Ho7Pt2Au2

Please write out number 1 again, unchanged.
This record from Alexandria via LeMat-Bulk describes a relaxed structure of Ho7Pt2Au2. The functional is PBE-GGA.

Output
spin magnetization: 0.00 μB per cell
energy relative to the elements: -0.65 eV per atom
energy above the lowest structure with this stoichiometry: 0.167 eV/atom

abc: 6.7025 7.0552 6.7025
angles: 90.00 105.43 90.00
Sites, in units of the cell vectors:
Ho: 0.9998 0.2580 0.5003
Ho: 0.5003 0.7420 0.9998
Ho: 0.0002 0.7420 0.4997
Ho: 0.4997 0.2580 0.0002
Ho: 0.0000 0.0000 0.0000
Ho: 0.5002 0.7469 0.4998
Ho: 0.4998 0.2531 0.5002
Pt: 0.7164 0.0000 0.2836
Pt: 0.2836 0.0000 0.7164
Au: 0.7924 0.5000 0.7924
Au: 0.2076 0.5000 0.2076